Record 1
VASP calculation (PBE) on an optimized crystal structure of NaHfAgIr2.

Results
Space-group type: P4/mmm
Calculated formation energy: 1.7093 eV per atom
Raw total energy: -4.66 eV per atom
N(E_F): 1.357 states/eV/cell
Calculated volume: 95.47 Å³ per cell

a = 4.5662 Å, b = 4.5788 Å, c = 4.5662 Å
α = 90.00°, β = 90.00°, γ = 90.00°
With the nearest neighbours (Å) after each atom.
Sites, in units of the cell vectors:
1 Na 0.0000 0.0000 0.0000  4 Ir 2.28, 2 Hf 2.29
2 Ir 0.0000 0.0000 0.5000  2 Na 2.28
3 Ir 0.5000 0.0000 0.0000  2 Na 2.28
4 Hf 0.0000 0.5000 0.0000  2 Na 2.29
5 Ag 0.5000 0.5000 0.5000  4 Hf 3.23, 8 Ir 3.23

Record 2
VASP calculation (PBE) on an optimized crystal structure of HfAgIr2O.

Results
Space-group type: P4/mmm
Formation energy (no corrections): 0.431 eV/atom
Raw total energy: -6.67 eV per atom
N(E_F): 7.009 states/eV/cell
Calculated volume: 99.39 Å³ per cell

a = 5.0378 Å, b = 3.9161 Å, c = 5.0378 Å
α = 90.00°, β = 90.00°, γ = 90.00°
With the nearest neighbours (Å) after each atom.
Sites, in units of the cell vectors:
1 Ir 0.0000 0.0000 0.5000  2 Hf 2.52
2 Ir 0.5000 0.0000 0.0000  2 Hf 2.52
3 Hf 0.0000 0.0000 0.0000  2 O 1.96
4 O 0.0000 0.5000 0.0000  2 Hf 1.96
5 Ag 0.5000 0.5000 0.5000  8 Ir 3.19, 4 O 3.56

Record 3
VASP calculation (PBE) on an optimized crystal structure of PmHfAgIr.

Results
Space-group type: F-43m
Calculated formation energy: -0.3387 eV per atom
Raw total energy: -6.94 eV per atom
N(E_F): 3.364 states/eV/cell
Calculated volume: 83.68 Å³ per cell

a = 4.9097 Å, b = 4.9097 Å, c = 4.9097 Å
α = 60.00°, β = 60.00°, γ = 60.00°
With the nearest neighbours (Å) after each atom.
Sites, in units of the cell vectors:
1 Ir 0.7500 0.7500 0.7500  4 Hf 3.01, 4 Pm 3.01
2 Hf 0.5000 0.5000 0.5000  4 Ir 3.01, 4 Ag 3.01
3 Ag 0.2500 0.2500 0.2500  4 Hf 3.01, 4 Pm 3.01
4 Pm 0.0000 0.0000 0.0000  4 Ir 3.01, 4 Ag 3.01